Model P:
HfTh2Sc PBE-GGA optimized geometry; SG = P4/mmm
1.0
3.749 0.000 0.000
0.000 3.749 0.000
0.000 0.000 7.858
Th Sc Hf
2 1 1
Direct
0.000 0.000 0.743
0.000 0.000 0.257
0.500 0.500 0.000
0.500 0.500 0.500

Model Q:
HfTh2Sc PBE-GGA optimized geometry; SG = R-3m
1.0
-2.926 -1.344 0.773
-0.228 -3.254 0.572
1.137 0.342 11.991
Th Hf Sc
2 1 1
Direct
0.914 0.914 0.257
0.086 0.086 0.743
0.000 0.000 0.000
0.500 0.500 0.500

Which structure is the most stable? The one labeled model P.